1.
This record from the Alexandria database describes a relaxed V4Fe6Ir7 crystal. The functional is GGA-PBE.

Properties
The crystal system is cubic. The calculation puts the total DFT energy (no corrections) at -298.5 eV per cell. Its calculated density is 13.15 Mg/m³. For the total magnetic moment, the calculation gives 16.22 μB per cell.

The structure in CIF format:
```
data_V4Fe6Ir7
_space_group_name_H-M_alt 'I m -3 m'
_space_group_IT_number 229
_space_group_name_Hall '-I 4 2 3'
_cell_length_a 7.806
_cell_length_b 7.806
_cell_length_c 7.806
_cell_angle_alpha 90.00
_cell_angle_beta 90.00
_cell_angle_gamma 90.00
loop_
_atom_site_label
_atom_site_fract_x
_atom_site_fract_y
_atom_site_fract_z
V1 0.250 0.250 0.250
Fe1 0.000 0.000 0.298
Ir1 0.000 0.000 0.000
Ir2 0.000 0.250 0.500
```



2.
This record from the Alexandria database describes a relaxed AcLuTlCd crystal. The functional is GGA-PBE.

Properties
The crystal system is cubic. The calculation puts the total DFT energy (no corrections) at -52.0 eV per cell. Its calculated density is 9.84 Mg/m³. For the total magnetic moment, the calculation gives 0.00 μB per cell.

The structure in CIF format:
```
data_AcLuTlCd
_space_group_name_H-M_alt 'F -4 3 m'
_space_group_IT_number 216
_space_group_name_Hall 'F -4 2 3'
_cell_length_a 7.857
_cell_length_b 7.857
_cell_length_c 7.857
_cell_angle_alpha 90.00
_cell_angle_beta 90.00
_cell_angle_gamma 90.00
loop_
_atom_site_label
_atom_site_fract_x
_atom_site_fract_y
_atom_site_fract_z
Ac1 0.000 0.000 0.000
Lu1 0.000 0.000 0.500
Tl1 0.250 0.250 0.250
Cd1 0.250 0.250 0.750
```



3.
This record from the Alexandria database describes a relaxed TbInGa4 crystal. The functional is GGA-PBE.

Properties
For the offset from the most stable computed form, the calculation gives 0.006 eV/atom. The crystal system is orthorhombic. The calculation puts the total DFT energy (no corrections) at -20.8 eV per cell. Its calculated density is 7.22 Mg/m³. For the total magnetic moment, the calculation gives 0.00 μB per cell.

The structure in CIF format:
```
data_TbInGa4
_space_group_name_H-M_alt 'P m m m'
_space_group_IT_number 47
_space_group_name_Hall '-P 2 2'
_cell_length_a 3.418
_cell_length_b 4.704
_cell_length_c 7.905
_cell_angle_alpha 90.00
_cell_angle_beta 90.00
_cell_angle_gamma 90.00
loop_
_atom_site_label
_atom_site_fract_x
_atom_site_fract_y
_atom_site_fract_z
Tb1 0.000 0.000 0.000
In1 0.000 0.500 0.500
Ga1 0.500 0.000 0.335
Ga2 0.500 0.500 0.165
```



4.
This record from the Alexandria database describes a relaxed Ho3MnTe6 crystal. The functional is GGA-PBE.

Properties
The crystal system is orthorhombic. The calculation puts the total DFT energy (no corrections) at -206.9 eV per cell. Its calculated density is 6.83 Mg/m³. The uncorrected formation energy is -1.00 eV per atom. For the total magnetic moment, the calculation gives 15.82 μB per cell.

The structure in CIF format:
```
data_Ho3MnTe6
_space_group_name_H-M_alt 'C m c 21'
_space_group_IT_number 36
_space_group_name_Hall 'C 2c -2'
_cell_length_a 12.068
_cell_length_b 14.545
_cell_length_c 7.292
_cell_angle_alpha 90.00
_cell_angle_beta 90.00
_cell_angle_gamma 90.00
loop_
_atom_site_label
_atom_site_fract_x
_atom_site_fract_y
_atom_site_fract_z
Ho1 0.000 0.099 0.000
Ho2 0.177 0.402 0.101
Mn1 0.000 0.291 0.645
Te1 0.000 0.275 0.279
Te2 0.000 0.460 0.794
Te3 0.164 0.037 0.300
Te4 0.175 0.231 0.826
```



5.
This record from the Alexandria database describes a relaxed TlZnAgAu crystal. The functional is GGA-PBE.

Properties
The crystal system is cubic. The calculation puts the total DFT energy (no corrections) at -37.5 eV per cell. Its calculated density is 11.98 Mg/m³. For the total magnetic moment, the calculation gives 0.00 μB per cell.

The structure in CIF format:
```
data_TlZnAgAu
_space_group_name_H-M_alt 'F -4 3 m'
_space_group_IT_number 216
_space_group_name_Hall 'F -4 2 3'
_cell_length_a 6.829
_cell_length_b 6.829
_cell_length_c 6.829
_cell_angle_alpha 90.00
_cell_angle_beta 90.00
_cell_angle_gamma 90.00
loop_
_atom_site_label
_atom_site_fract_x
_atom_site_fract_y
_atom_site_fract_z
Tl1 0.000 0.000 0.000
Zn1 0.250 0.250 0.250
Ag1 0.250 0.250 0.750
Au1 0.000 0.000 0.500
```



6.
This record from the Alexandria database describes a relaxed Ho2Hg7 crystal. The functional is GGA-PBE.

Properties
The crystal system is trigonal. The calculation puts the total DFT energy (no corrections) at -13.5 eV per cell. Its calculated density is 13.37 Mg/m³. For the total magnetic moment, the calculation gives 0.00 μB per cell.

The structure in CIF format:
```
data_Ho2Hg7
_space_group_name_H-M_alt 'P -3 m 1'
_space_group_IT_number 164
_space_group_name_Hall '-P 3 2"'
_cell_length_a 5.1288
_cell_length_b 5.1288
_cell_length_c 9.4539
_cell_angle_alpha 90.00
_cell_angle_beta 90.00
_cell_angle_gamma 120.00
loop_
_atom_site_label
_atom_site_fract_x
_atom_site_fract_y
_atom_site_fract_z
Ho1 0.3333 0.6667 0.2711
Hg1 0.0000 0.0000 0.1645
Hg2 0.0000 0.0000 0.5000
Hg3 0.3333 0.6667 0.6042
Hg4 0.3333 0.6667 0.9315
```



7.
This record from the Alexandria database describes a relaxed CaTaFeAs2 crystal. The functional is GGA-PBE.

Properties
The crystal system is tetragonal. The calculation puts the total DFT energy (no corrections) at -23.1 eV per cell. Its calculated density is 6.84 Mg/m³. For the total magnetic moment, the calculation gives 0.00 μB per cell.

The structure in CIF format:
```
data_CaTaFeAs2
_space_group_name_H-M_alt 'P 4/m m m'
_space_group_IT_number 123
_space_group_name_Hall '-P 4 2'
_cell_length_a 5.033
_cell_length_b 5.033
_cell_length_c 4.088
_cell_angle_alpha 90.00
_cell_angle_beta 90.00
_cell_angle_gamma 90.00
loop_
_atom_site_label
_atom_site_fract_x
_atom_site_fract_y
_atom_site_fract_z
Ca1 0.000 0.000 0.000
Ta1 0.500 0.500 0.500
Fe1 0.000 0.000 0.500
As1 0.000 0.500 0.000
```



8.
This record from the Alexandria database describes a relaxed AlGa2Ge crystal. The functional is GGA-PBE.

Properties
For the offset from the most stable computed form, the calculation gives 0.061 eV/atom. The crystal system is trigonal. The calculation puts the total DFT energy (no corrections) at -41.3 eV per cell. Its calculated density is 5.13 Mg/m³. For the total magnetic moment, the calculation gives 0.00 μB per cell.

The structure in CIF format:
```
data_AlGa2Ge
_space_group_name_H-M_alt 'R -3 m'
_space_group_IT_number 166
_space_group_name_Hall '-R 3 2"'
_cell_length_a 4.3106
_cell_length_b 4.3106
_cell_length_c 14.4278
_cell_angle_alpha 90.00
_cell_angle_beta 90.00
_cell_angle_gamma 120.00
loop_
_atom_site_label
_atom_site_fract_x
_atom_site_fract_y
_atom_site_fract_z
Al1 0.0000 0.0000 0.0000
Ga1 0.0000 0.0000 0.2535
Ge1 0.0000 0.0000 0.5000
```



9.
This record from the Alexandria database describes a relaxed BaCaCu2 crystal. The functional is GGA-PBE.

Properties
For the offset from the most stable computed form, the calculation gives 0.106 eV/atom. The crystal system is cubic. The calculation puts the total DFT energy (no corrections) at -47.7 eV per cell. Its calculated density is 4.68 Mg/m³. For the total magnetic moment, the calculation gives 0.00 μB per cell.

The structure in CIF format:
```
data_BaCaCu2
_space_group_name_H-M_alt 'F m -3 m'
_space_group_IT_number 225
_space_group_name_Hall '-F 4 2 3'
_cell_length_a 7.562
_cell_length_b 7.562
_cell_length_c 7.562
_cell_angle_alpha 90.00
_cell_angle_beta 90.00
_cell_angle_gamma 90.00
loop_
_atom_site_label
_atom_site_fract_x
_atom_site_fract_y
_atom_site_fract_z
Ba1 0.000 0.000 0.000
Ca1 0.000 0.000 0.500
Cu1 0.250 0.250 0.250
```



10.
This record from the Alexandria database describes a relaxed Ho3Er9Th2 crystal. The functional is GGA-PBE.

Properties
The crystal system is monoclinic. The calculation puts the total DFT energy (no corrections) at -138.7 eV per cell. Its calculated density is 9.47 Mg/m³. For the total magnetic moment, the calculation gives 0.00 μB per cell.

The structure in CIF format:
```
data_Ho3Er9Th2
_space_group_name_H-M_alt 'C 1 2/m 1'
_space_group_IT_number 12
_space_group_name_Hall '-C 2y'
_cell_length_a 25.108
_cell_length_b 3.520
_cell_length_c 9.973
_cell_angle_alpha 90.00
_cell_angle_beta 101.48
_cell_angle_gamma 90.00
loop_
_atom_site_label
_atom_site_fract_x
_atom_site_fract_y
_atom_site_fract_z
Ho1 0.000 0.000 0.000
Ho2 0.213 0.500 0.358
Er1 0.000 0.000 0.500
Er2 0.071 0.500 0.285
Er3 0.143 0.000 0.068
Er4 0.143 0.000 0.575
Er5 0.214 0.500 0.855
Th1 0.071 0.500 0.785
```



11.
This record from the Alexandria database describes a relaxed CaMo2Cl crystal. The functional is GGA-PBE.

Properties
For the offset from the most stable computed form, the calculation gives 0.000 eV/atom. The crystal system is monoclinic. The calculation puts the total DFT energy (no corrections) at -26.1 eV per cell. Its calculated density is 5.37 Mg/m³. The uncorrected formation energy is -0.14 eV per atom. For the total magnetic moment, the calculation gives 0.00 μB per cell.

The structure in CIF format:
```
data_CaMo2Cl
_space_group_name_H-M_alt 'P 1 m 1'
_space_group_IT_number 6
_space_group_name_Hall 'P -2y'
_cell_length_a 3.306
_cell_length_b 3.247
_cell_length_c 7.832
_cell_angle_alpha 90.00
_cell_angle_beta 100.20
_cell_angle_gamma 90.00
loop_
_atom_site_label
_atom_site_fract_x
_atom_site_fract_y
_atom_site_fract_z
Ca1 0.000 0.000 0.000
Mo1 0.254 0.000 0.454
Mo2 0.635 0.500 0.300
Cl1 0.402 0.500 0.767
```



12.
This record from the Alexandria database describes a relaxed CeSm5Er4 crystal. The functional is GGA-PBE.

Properties
The crystal system is monoclinic. The calculation puts the total DFT energy (no corrections) at -93.4 eV per cell. Its calculated density is 8.00 Mg/m³. For the total magnetic moment, the calculation gives 0.95 μB per cell.

The structure in CIF format:
```
data_CeSm5Er4
_space_group_name_H-M_alt 'C 1 2/m 1'
_space_group_IT_number 12
_space_group_name_Hall '-C 2y'
_cell_length_a 17.792
_cell_length_b 3.487
_cell_length_c 10.917
_cell_angle_alpha 90.00
_cell_angle_beta 106.77
_cell_angle_gamma 90.00
loop_
_atom_site_label
_atom_site_fract_x
_atom_site_fract_y
_atom_site_fract_z
Ce1 0.000 0.000 0.000
Sm1 0.000 0.000 0.500
Sm2 0.105 0.500 0.283
Sm3 0.206 0.500 0.601
Er1 0.094 0.500 0.812
Er2 0.196 0.000 0.081
```